The following is a DFT calculation (PBE-GGA) of Er2TlBi after structural relaxation.

Cell lengths 5.4106, 5.4106, 5.4106 Å; angles 60.00, 60.00, 60.00 degrees
Atoms (fractional coordinates):
1 Er 0.7500 0.7500 0.7500
2 Er 0.2500 0.2500 0.2500
3 Tl 0.0000 0.0000 0.0000
4 Bi 0.5000 0.5000 0.5000

## Properties
- Calculated density: 11.1 Mg/m³
- Size of the total moment: 0.000 μB per atom
- Energy relative to the elements: -368 meV/atom
- Total energy: -4.211 eV/atom
- Density of states at the Fermi level: 3.52 states/eV/cell
- Space-group type: Fm-3m (225)
- Calculated volume: 28.000 Å³/atom
- Crystal system: cubic

=====

The following is a DFT calculation (PBE-GGA) of ErTlBi2 after structural relaxation.

Cell lengths 4.3567, 4.3567, 8.6339 Å; angles 75.39, 75.39, 60.00 degrees
Atoms (fractional coordinates):
1 Tl 0.5000 0.5000 0.5000
2 Bi 0.7428 0.7428 0.7715
3 Bi 0.2572 0.2572 0.2285
4 Er 0.0000 0.0000 0.0000

## Properties
- Calculated density: 9.7 Mg/m³
- Size of the total moment: 0.000 μB per atom
- Energy relative to the elements: -180 meV/atom
- Total energy: -3.853 eV/atom
- Density of states at the Fermi level: 2.40 states/eV/cell
- Space-group type: R-3m (166)
- Calculated volume: 33.941 Å³/atom
- Crystal system: trigonal

=====

The following is a DFT calculation (PBE-GGA) of Er8Tl2Bi after structural relaxation.

Cell lengths 5.0610, 6.9464, 9.8444 Å; angles 99.70, 104.90, 90.00 degrees
Atoms (fractional coordinates):
1 Er 0.4086 0.5279 0.8172
2 Er 0.6604 0.9874 0.3209
3 Er 0.5914 0.4721 0.1828
4 Er 0.0231 0.7467 0.0462
5 Er 0.3396 0.0126 0.6791
6 Tl 0.8131 0.2431 0.6262
7 Er 0.9769 0.2533 0.9538
8 Er 0.7940 0.6761 0.5881
9 Er 0.2060 0.3239 0.4119
10 Bi 0.5000 0.0000 0.0000
11 Tl 0.1869 0.7569 0.3738

## Properties
- Calculated density: 9.9 Mg/m³
- Size of the total moment: 0.000 μB per atom
- Energy relative to the elements: -190 meV/atom
- Total energy: -4.291 eV/atom
- Density of states at the Fermi level: 12.83 states/eV/cell
- Space-group type: C2/m (12)
- Calculated volume: 29.940 Å³/atom
- Crystal system: monoclinic

=====

The following is a DFT calculation (PBE-GGA) of ErTl2Bi after structural relaxation.

Cell lengths 3.5151, 3.5151, 12.2090 Å; angles 81.72, 81.72, 60.00 degrees
Atoms (fractional coordinates):
1 Bi 0.5000 0.5000 0.5000
2 Tl 0.9126 0.9126 0.2623
3 Er 0.0000 0.0000 0.0000
4 Tl 0.0874 0.0874 0.7377

## Properties
- Calculated density: 10.1 Mg/m³
- Size of the total moment: 0.000 μB per atom
- Energy relative to the elements: 110 meV/atom
- Total energy: -3.184 eV/atom
- Density of states at the Fermi level: 3.19 states/eV/cell
- Space-group type: R-3m (166)
- Calculated volume: 32.207 Å³/atom
- Crystal system: trigonal

=====

The following is a DFT calculation (PBE-GGA) of Er2TlBi after structural relaxation.

Cell lengths 4.1442, 4.1442, 8.6674 Å; angles 76.17, 76.17, 60.00 degrees
Atoms (fractional coordinates):
1 Bi 0.6676 0.6676 0.9971
2 Tl 0.4994 0.4994 0.5018
3 Er 0.2549 0.2549 0.2353
4 Er 0.0781 0.0781 0.7658

## Properties
- Calculated density: 10.0 Mg/m³
- Size of the total moment: 0.000 μB per atom
- Energy relative to the elements: -377 meV/atom
- Total energy: -4.220 eV/atom
- Density of states at the Fermi level: 1.69 states/eV/cell
- Space-group type: R3m (160)
- Calculated volume: 30.976 Å³/atom
- Crystal system: trigonal

=====

The following is a DFT calculation (PBE-GGA) of ErTm3Bi4 after structural relaxation.

Cell lengths 6.2658, 6.2658, 6.2658 Å; angles 90.00, 90.00, 90.00 degrees
Atoms (fractional coordinates):
1 Tm 0.5000 0.5000 0.0000
2 Tm 0.5000 0.0000 0.5000
3 Bi 0.5000 0.5000 0.5000
4 Tm 0.0000 0.5000 0.5000
5 Bi 0.0000 0.0000 0.5000
6 Bi 0.0000 0.5000 0.0000
7 Bi 0.5000 0.0000 0.0000
8 Er 0.0000 0.0000 0.0000

## Properties
- Calculated density: 10.2 Mg/m³
- Size of the total moment: 0.000 μB per atom
- Energy relative to the elements: -795 meV/atom
- Total energy: -4.982 eV/atom
- Density of states at the Fermi level: 0.54 states/eV/cell
- Space-group type: Pm-3m (221)
- Calculated volume: 30.750 Å³/atom
- Crystal system: cubic

=====

The following is a DFT calculation (PBE-GGA) of Er4Tm3Bi4 after structural relaxation.

Cell lengths 4.3388, 8.0267, 9.8664 Å; angles 90.00, 90.00, 105.68 degrees
Last column: magnetic moment on the atom in μB.
Atoms (fractional coordinates):
1 Bi 0.9285 0.8571 0.0000  0.00
2 Bi 0.7424 0.4849 0.2466  0.00
3 Er 0.5829 0.1658 0.0000  0.19
4 Er 0.6052 0.2105 0.5000  0.43
5 Bi 0.9477 0.8955 0.5000  0.00
6 Er 0.0897 0.1795 0.7529  0.29
7 Tm 0.4047 0.8094 0.7312  0.05
8 Er 0.0897 0.1795 0.2471  0.29
9 Tm 0.4047 0.8094 0.2688  0.05
10 Bi 0.7424 0.4849 0.7534  0.00
11 Tm 0.2604 0.5207 0.0000  0.06

## Properties
- Calculated density: 10.1 Mg/m³
- Size of the total moment: 0.157 μB per atom
- Energy relative to the elements: -438 meV/atom
- Total energy: -4.728 eV/atom
- Density of states at the Fermi level: 9.50 states/eV/cell
- Space-group type: Amm2 (38)
- Calculated volume: 30.075 Å³/atom
- Crystal system: orthorhombic

=====

The following is a DFT calculation (PBE-GGA) of ErTm2Bi2 after structural relaxation.

Cell lengths 4.9014, 6.5957, 9.3276 Å; angles 90.00, 105.23, 90.00 degrees
Atoms (fractional coordinates):
1 Er 0.6162 0.9592 0.2325
2 Tm 0.0138 0.2224 0.0277
3 Tm 0.9862 0.7224 0.9723
4 Bi 0.2084 0.1083 0.4169
5 Bi 0.7916 0.6083 0.5831
6 Bi 0.5683 0.4852 0.1365
7 Bi 0.4317 0.9852 0.8635
8 Tm 0.8186 0.0906 0.6372
9 Er 0.3838 0.4592 0.7675
10 Tm 0.1814 0.5906 0.3628

## Properties
- Calculated density: 10.5 Mg/m³
- Size of the total moment: 0.000 μB per atom
- Energy relative to the elements: -559 meV/atom
- Total energy: -4.813 eV/atom
- Density of states at the Fermi level: 7.46 states/eV/cell
- Space-group type: Cmc2_1 (36)
- Calculated volume: 29.095 Å³/atom
- Crystal system: orthorhombic

=====

The following is a DFT calculation (PBE-GGA) of Er12Tm5Bi3 after structural relaxation.

Cell lengths 15.9126, 15.9126, 15.9126 Å; angles 109.47, 109.47, 109.47 degrees
Atoms (fractional coordinates):
1 Er 0.5640 0.6408 0.4109
2 Tm 0.5000 0.0000 0.5000
3 Bi 0.3750 0.6250 0.2500
4 Er 0.4232 0.7700 0.8592
5 Er 0.2700 0.4109 0.8469
6 Tm 0.8750 0.2500 0.6250
7 Tm 0.7500 0.6250 0.3750
8 Bi 0.6250 0.3750 0.7500
9 Tm 0.3750 0.1250 0.7500
10 Tm 0.0000 0.0000 0.5000
11 Er 0.8592 0.2700 0.4232
12 Bi 0.8750 0.1250 0.2500
13 Tm 0.1250 0.7500 0.3750
14 Er 0.8592 0.5891 0.9360
15 Er 0.6531 0.4232 0.5640
16 Er 0.1531 0.0891 0.7300
17 Er 0.1531 0.0640 0.9232
18 Er 0.0891 0.9360 0.3592
19 Er 0.9109 0.8469 0.7700
20 Tm 0.6250 0.8750 0.2500
21 Er 0.5768 0.3469 0.9360
22 Er 0.3592 0.9232 0.7700
23 Er 0.9360 0.8469 0.5768
24 Bi 0.8750 0.7500 0.1250
25 Er 0.0768 0.6408 0.7300
26 Er 0.6408 0.5640 0.9109
27 Er 0.4232 0.6531 0.0640
28 Tm 0.5000 0.0000 0.0000
29 Er 0.7700 0.4232 0.3592
30 Er 0.7700 0.3469 0.9109
31 Er 0.9232 0.5640 0.1531
32 Tm 0.0000 0.5000 0.0000
33 Er 0.3592 0.4360 0.0891
34 Tm 0.3750 0.2500 0.1250
35 Er 0.8469 0.9360 0.0768
36 Er 0.9360 0.0891 0.8592
37 Bi 0.1250 0.8750 0.7500
38 Er 0.8469 0.9109 0.2700
39 Er 0.5891 0.8592 0.4360
40 Tm 0.5000 0.5000 0.0000
41 Er 0.0640 0.9109 0.1408
42 Er 0.9232 0.3592 0.2700
43 Bi 0.7500 0.3750 0.1250
44 Er 0.4360 0.0768 0.3469
45 Er 0.7300 0.5891 0.1531
46 Er 0.5891 0.7300 0.6531
47 Er 0.4109 0.1408 0.5640
48 Er 0.1408 0.4109 0.0640
49 Er 0.5768 0.2300 0.1408
50 Er 0.0640 0.1531 0.4232
51 Tm 0.0000 0.5000 0.5000
52 Er 0.0768 0.4360 0.8469
53 Tm 0.0000 0.0000 0.0000
54 Tm 0.8750 0.6250 0.7500
55 Tm 0.2500 0.8750 0.1250
56 Er 0.4109 0.2700 0.3469
57 Er 0.3469 0.5768 0.4360
58 Bi 0.2500 0.6250 0.8750
59 Bi 0.2500 0.1250 0.3750
60 Bi 0.1250 0.2500 0.8750
61 Er 0.1408 0.7300 0.5768
62 Er 0.3469 0.7700 0.4109
63 Tm 0.7500 0.1250 0.8750
64 Er 0.2700 0.8592 0.9232
65 Bi 0.6250 0.2500 0.3750
66 Bi 0.3750 0.7500 0.6250
67 Tm 0.2500 0.3750 0.6250
68 Er 0.0891 0.1531 0.2300
69 Er 0.7300 0.1408 0.0768
70 Bi 0.7500 0.8750 0.6250
71 Tm 0.5000 0.5000 0.5000
72 Er 0.4360 0.3592 0.5891
73 Tm 0.6250 0.7500 0.8750
74 Er 0.9109 0.0640 0.6408
75 Er 0.2300 0.5768 0.6408
76 Er 0.6531 0.2300 0.5891
77 Tm 0.1250 0.3750 0.2500
78 Er 0.6408 0.0768 0.2300
79 Er 0.2300 0.6531 0.0891
80 Er 0.5640 0.9232 0.6531

## Properties
- Calculated density: 7.4 Mg/m³
- Size of the total moment: 0.000 μB per atom
- Energy relative to the elements: 728 meV/atom
- Total energy: -3.709 eV/atom
- Density of states at the Fermi level: 119.61 states/eV/cell
- Space-group type: Ia-3d (230)
- Calculated volume: 38.772 Å³/atom
- Crystal system: cubic

=====

The following is a DFT calculation (PBE-GGA) of Er4Tm3Bi8 after structural relaxation.

Cell lengths 8.8369, 8.8344, 8.8344 Å; angles 90.01, 120.01, 120.01 degrees
Atoms (fractional coordinates):
1 Tm 0.5000 0.5000 0.5000
2 Bi 0.5106 0.2557 0.2557
3 Er 0.5000 0.0000 0.0000
4 Bi 0.5000 0.7497 0.2503
5 Bi 0.9992 0.7443 0.7443
6 Bi 0.0000 0.2552 0.7448
7 Tm 0.5000 0.5000 0.0000
8 Er 0.0000 0.5000 0.0000
9 Tm 0.5000 0.0000 0.5000
10 Bi 0.0000 0.7448 0.2552
11 Er 0.0000 0.0000 0.0000
12 Bi 0.4894 0.7443 0.7443
13 Er 0.0000 0.0000 0.5000
14 Bi 0.0008 0.2557 0.2557
15 Bi 0.5000 0.2503 0.7497

## Properties
- Calculated density: 9.7 Mg/m³
- Size of the total moment: 0.000 μB per atom
- Energy relative to the elements: -630 meV/atom
- Total energy: -4.811 eV/atom
- Density of states at the Fermi level: 7.86 states/eV/cell
- Space-group type: C2/m (12)
- Calculated volume: 32.502 Å³/atom
- Crystal system: monoclinic

=====

The following is a DFT calculation (PBE-GGA) of ErTm6Bi2 after structural relaxation.

Cell lengths 3.4669, 8.1502, 10.0276 Å; angles 78.52, 80.05, 77.72 degrees
Atoms (fractional coordinates):
1 Bi 0.6514 0.9856 0.7116
2 Tm 0.7672 0.3568 0.1088
3 Tm 0.9505 0.3515 0.7476
4 Er 0.0000 0.0000 0.0000
5 Tm 0.3732 0.6994 0.5542
6 Tm 0.6268 0.3006 0.4458
7 Bi 0.3486 0.0144 0.2884
8 Tm 0.0495 0.6485 0.2524
9 Tm 0.2328 0.6432 0.8912

## Properties
- Calculated density: 9.9 Mg/m³
- Size of the total moment: 0.003 μB per atom
- Energy relative to the elements: -166 meV/atom
- Total energy: -4.516 eV/atom
- Density of states at the Fermi level: 11.01 states/eV/cell
- Space-group type: C2/m (12)
- Calculated volume: 29.865 Å³/atom
- Crystal system: monoclinic

=====

The following is a DFT calculation (PBE-GGA) of Er2Tm5Bi4 after structural relaxation.

Cell lengths 3.4725, 8.0329, 14.7186 Å; angles 121.56, 96.77, 90.00 degrees
Atoms (fractional coordinates):
1 Bi 0.4016 0.5379 0.8033
2 Er 0.7319 0.6397 0.4637
3 Bi 0.5984 0.4621 0.1967
4 Tm 0.5000 0.0000 0.0000
5 Er 0.2681 0.3603 0.5363
6 Tm 0.1753 0.8627 0.3507
7 Tm 0.8610 0.7737 0.7220
8 Tm 0.8247 0.1373 0.6493
9 Bi 0.0509 0.7923 0.1019
10 Bi 0.9491 0.2077 0.8981
11 Tm 0.1390 0.2263 0.2780

## Properties
- Calculated density: 9.7 Mg/m³
- Size of the total moment: 0.000 μB per atom
- Energy relative to the elements: -192 meV/atom
- Total energy: -4.465 eV/atom
- Density of states at the Fermi level: 9.07 states/eV/cell
- Space-group type: C2/m (12)
- Calculated volume: 31.497 Å³/atom
- Crystal system: monoclinic